FeOsW2 | Alexandria | GGA-PBEsol | optimized geometry; calculated volume = 14.0 Å³ per atom; energy = -48.02 eV/cell
1.0
2.688 0.000 0.000
0.000 2.688 0.000
0.000 0.000 7.764
Fe Os W
1 1 2
Direct
0.000 0.000 0.000
0.500 0.500 0.786
0.000 0.000 0.524
0.500 0.500 0.239